Entry from Alexandria via LeMat-Bulk: an optimized crystal structure of Li4Ac2Sb3As (PBE-GGA).

abc: 4.7048 4.7048 10.9553
angles: 90.00 90.00 90.00
Space group P-4m2 (No. 115)
Unique sites:
Li 0.0000 0.0000 0.0000 [1 per cell]
Li 0.0000 0.5000 0.3883 [2 per cell]
Li 0.5000 0.5000 0.0000 [1 per cell]
Ac 0.0000 0.5000 0.7317 [2 per cell]
Sb 0.0000 0.0000 0.5000 [1 per cell]
Sb 0.0000 0.5000 0.1460 [2 per cell]
As 0.5000 0.5000 0.5000 [1 per cell]

## Properties
Raw formation energy ... -859 meV/atom
Crystal system ... tetragonal
Total magnetic moment ... 0.0 μB/f.u.
Electronic total energy ... -4.15 eV per atom